DyZrAlZn | PBE-GGA | optimized geometry

Cell and atoms, written as CIF:
```
data_DyZrAlZn
_cell_length_a 6.9335
_cell_length_b 6.9335
_cell_length_c 6.9335
_cell_angle_alpha 90.00
_cell_angle_beta 90.00
_cell_angle_gamma 90.00
_space_group_name_H-M_alt 'F -4 3 m'
_space_group_IT_number 216
_space_group_name_Hall 'F -4 2 3'
loop_
_atom_site_label
_atom_site_type_symbol
_atom_site_fract_x
_atom_site_fract_y
_atom_site_fract_z
_atom_site_occupancy
Dy1 Dy 0.0000 0.0000 0.0000 1
Zr1 Zr 0.0000 0.0000 0.5000 1
Al1 Al 0.2500 0.2500 0.2500 1
Zn1 Zn 0.2500 0.2500 0.7500 1
```

## Properties
Energy of formation from the pure elements   -308.9 meV/atom
Final energy   -77.6 eV/cell